# 1
# RbTl4Pb4

An optimized crystal structure of RbTl4Pb4 (PBE, Alexandria).

Values from the calculation:
ΔE_f: -0.025 eV per atom
magnetization: 0.00 μB/f.u.
calculated density: 9.554 g/cm³
Fermi-level density of states: 4.42 states/eV/f.u.

Cell and atoms, written as CIF:
```
data_RbTl4Pb4
_symmetry_space_group_name_H-M 'I 4/m m m'
_symmetry_Int_Tables_number 139
_symmetry_space_group_name_Hall '-I 4 2'
_cell_length_a 10.658
_cell_length_b 10.658
_cell_length_c 5.300
_cell_angle_alpha 90.00
_cell_angle_beta 90.00
_cell_angle_gamma 90.00
loop_
_atom_site_label
_atom_site_type_symbol
_atom_site_fract_x
_atom_site_fract_y
_atom_site_fract_z
Rb1 Rb 0.000 0.000 0.000
Tl1 Tl 0.178 0.178 0.500
Pb1 Pb 0.000 0.349 0.000
```

# 2
# Ca2ZnRe

An optimized crystal structure of Ca2ZnRe (PBE, Alexandria).

Values from the calculation:
ΔE_f: 0.504 eV per atom
magnetization: 0.00 μB/f.u.
calculated density: 6.529 g/cm³
Fermi-level density of states: 4.56 states/eV/f.u.

Cell and atoms, written as CIF:
```
data_Ca2ZnRe
_symmetry_space_group_name_H-M 'C m m m'
_symmetry_Int_Tables_number 65
_symmetry_space_group_name_Hall '-C 2 2'
_cell_length_a 3.937
_cell_length_b 4.403
_cell_length_c 9.737
_cell_angle_alpha 90.00
_cell_angle_beta 90.00
_cell_angle_gamma 90.00
loop_
_atom_site_label
_atom_site_type_symbol
_atom_site_fract_x
_atom_site_fract_y
_atom_site_fract_z
Ca1 Ca 0.000 0.000 0.243
Zn1 Zn 0.000 0.500 0.500
Re1 Re 0.000 0.500 0.000
```

# 3
# Cr2CoRh8

An optimized crystal structure of Cr2CoRh8 (PBE, Alexandria).

Values from the calculation:
ΔE_f: 0.063 eV per atom
magnetization: 0.74 μB/f.u.
calculated density: 10.650 g/cm³
Fermi-level density of states: 14.55 states/eV/f.u.

Cell and atoms, written as CIF:
```
data_Cr2CoRh8
_symmetry_space_group_name_H-M 'I m m m'
_symmetry_Int_Tables_number 71
_symmetry_space_group_name_Hall '-I 2 2'
_cell_length_a 3.974
_cell_length_b 6.639
_cell_length_c 11.657
_cell_angle_alpha 90.00
_cell_angle_beta 90.00
_cell_angle_gamma 90.00
loop_
_atom_site_label
_atom_site_type_symbol
_atom_site_fract_x
_atom_site_fract_y
_atom_site_fract_z
Cr1 Cr 0.000 0.000 0.201
Co1 Co 0.000 0.000 0.500
Rh1 Rh 0.000 0.197 0.000
Rh2 Rh 0.000 0.286 0.348
Rh3 Rh 0.000 0.500 0.153
```

# 4
# TmAl4Ir5

An optimized crystal structure of TmAl4Ir5 (PBE, Alexandria).

Values from the calculation:
ΔE_f: -0.923 eV per atom
magnetization: 0.00 μB/f.u.
calculated density: 13.881 g/cm³
Fermi-level density of states: 2.14 states/eV/f.u.

Cell and atoms, written as CIF:
```
data_TmAl4Ir5
_symmetry_space_group_name_H-M 'P 4/m m m'
_symmetry_Int_Tables_number 123
_symmetry_space_group_name_Hall '-P 4 2'
_cell_length_a 3.018
_cell_length_b 3.018
_cell_length_c 16.260
_cell_angle_alpha 90.00
_cell_angle_beta 90.00
_cell_angle_gamma 90.00
loop_
_atom_site_label
_atom_site_type_symbol
_atom_site_fract_x
_atom_site_fract_y
_atom_site_fract_z
Tm1 Tm 0.000 0.000 0.000
Al1 Al 0.000 0.000 0.214
Al2 Al 0.000 0.000 0.405
Ir1 Ir 0.500 0.500 0.127
Ir2 Ir 0.500 0.500 0.315
Ir3 Ir 0.500 0.500 0.500
```

# 5
# Ca4Y3Te8

An optimized crystal structure of Ca4Y3Te8 (PBE, Alexandria).

Values from the calculation:
magnetization: 0.00 μB/f.u.
ΔE_f (raw): -1413 meV/atom
calculated density: 4.402 g/cm³
Fermi-level density of states: 4.52 states/eV/f.u.

Cell and atoms, written as CIF:
```
data_Ca4Y3Te8
_symmetry_space_group_name_H-M 'R -3 m'
_symmetry_Int_Tables_number 166
_symmetry_space_group_name_Hall '-R 3 2"'
_cell_length_a 8.8268
_cell_length_b 8.8268
_cell_length_c 24.2851
_cell_angle_alpha 90.00
_cell_angle_beta 90.00
_cell_angle_gamma 120.00
loop_
_atom_site_label
_atom_site_type_symbol
_atom_site_fract_x
_atom_site_fract_y
_atom_site_fract_z
Ca1 Ca 0.0000 0.0000 0.0000
Ca2 Ca 0.0000 0.0000 0.1441
Ca3 Ca 0.0000 0.0000 0.5000
Y1 Y 0.0000 0.5000 0.0000
Te1 Te 0.0000 0.0000 0.2657
Te2 Te 0.0095 0.5047 0.2557
```

# 6
# ReHgPbO6

An optimized crystal structure of ReHgPbO6 (PBE, Alexandria).

Values from the calculation:
magnetization: 0.00 μB/f.u.
ΔE_f (raw): -995 meV/atom
calculated density: 8.254 g/cm³
Fermi-level density of states: 3.74 states/eV/f.u.

Cell and atoms, written as CIF:
```
data_ReHgPbO6
_symmetry_space_group_name_H-M 'P 1'
_symmetry_Int_Tables_number 1
_cell_length_a 4.934
_cell_length_b 5.613
_cell_length_c 5.827
_cell_angle_alpha 61.42
_cell_angle_beta 84.40
_cell_angle_gamma 78.36
loop_
_symmetry_equiv_pos_as_xyz
'x,y,z'
loop_
_atom_site_label
_atom_site_type_symbol
_atom_site_fract_x
_atom_site_fract_y
_atom_site_fract_z
Re1 Re 0.000 0.000 0.000
Hg1 Hg 0.502 0.653 0.690
Pb1 Pb 0.009 0.337 0.325
O1 O 0.201 0.262 0.978
O2 O 0.239 0.705 0.230
O3 O 0.243 0.001 0.683
O4 O 0.763 0.071 0.227
O5 O 0.763 0.312 0.682
O6 O 0.806 0.757 0.979
```

Final energy readings, ordered: -50.98; -31.42; -168.95; -72.98; -221.18; -55.16 eV/cell